(1)
A plane-wave DFT calculation with GGA-PBE was carried out for DyEr5Sc4 after structural relaxation.

Geometry as POSCAR:
```
DyEr5Sc4
1.0
3.361 0.000 -0.683
-0.064 9.820 -0.314
0.019 1.193 8.706
Sc Er Dy
4 5 1
Direct
0.950 0.765 0.901
0.315 0.912 0.631
0.050 0.235 0.099
0.685 0.088 0.369
0.500 0.500 0.000
0.810 0.596 0.620
0.859 0.233 0.718
0.141 0.767 0.282
0.190 0.404 0.380
0.500 0.000 0.000
```

Summary:
* space group: C2/m, No. 12
* energy above the lowest structure with this stoichiometry: 0.0 kJ per mole of atoms
* density of states at the Fermi level: 17.5 states/eV/cell
* electronic total energy: -51.2 eV/f.u.
* M_tot: 0.00 μB per cell
* formation energy: 0.1572 eV/atom

=====

(2)
A plane-wave DFT calculation with GGA-PBE was carried out for SrNiOs after structural relaxation.

Geometry as POSCAR:
```
SrNiOs
1.0
-4.608 0.269 0.666
-2.770 -3.462 -1.445
-2.072 -2.783 3.116
Sr Ni Os
1 1 1
Direct
0.750 0.750 0.750
0.000 0.000 0.000
0.500 0.500 0.500
```

Summary:
* space group: F-43m, No. 216
* energy above the lowest structure with this stoichiometry: 154.4 kJ per mole of atoms
* density of states at the Fermi level: 6.8 states/eV/cell
* electronic total energy: -12.7 eV/f.u.
* M_tot: 2.34 μB per cell
* formation energy: 2.0103 eV/atom

=====

(3)
A plane-wave DFT calculation with GGA-PBE was carried out for NaMnCdCl6 after structural relaxation.

Geometry as POSCAR:
```
NaMnCdCl6
1.0
-3.507 -5.171 1.992
0.213 1.561 -6.366
9.852 -7.239 -1.445
Cl Cd Na Mn
12 2 2 2
Direct
0.971 0.624 0.364
0.624 0.971 0.864
0.971 0.347 0.136
0.624 0.653 0.636
0.029 0.376 0.636
0.376 0.347 0.364
0.347 0.971 0.636
0.653 0.029 0.364
0.347 0.376 0.864
0.376 0.029 0.136
0.653 0.624 0.136
0.029 0.653 0.864
0.667 0.333 0.750
0.333 0.667 0.250
0.000 0.000 0.500
0.000 0.000 0.000
0.333 0.667 0.750
0.667 0.333 0.250
```

Summary:
* space group: P-31c, No. 163
* energy relative to the elements, uncorrected: -1.16 eV per atom
* density of states at the Fermi level: 12.8 states/eV/cell
* electronic total energy: -33.0 eV/f.u.
* M_tot: 8.00 μB per cell

=====

(4)
A plane-wave DFT calculation with GGA-PBE was carried out for Ho2Tm5Th5 after structural relaxation.

Geometry as POSCAR:
```
Ho2Tm5Th5
1.0
4.887 0.000 1.044
2.156 7.356 1.868
0.285 0.597 10.623
Tm Th Ho
5 5 2
Direct
0.668 0.668 0.996
0.584 0.080 0.752
0.500 0.500 0.500
0.332 0.332 0.004
0.416 0.920 0.248
0.750 0.247 0.252
0.250 0.753 0.748
0.169 0.165 0.497
0.000 0.000 0.000
0.831 0.835 0.503
0.083 0.585 0.249
0.917 0.415 0.751
```

Summary:
* space group: C2/m, No. 12
* density of states at the Fermi level: 18.8 states/eV/cell
* electronic total energy: -68.1 eV/f.u.
* M_tot: 0.00 μB per cell
* formation energy: 0.0412 eV/atom

=====

(5)
A plane-wave DFT calculation with GGA-PBE was carried out for V2GeRu after structural relaxation.

Geometry as POSCAR:
```
V2GeRu
1.0
-1.748 -1.667 2.107
0.491 -2.669 -1.706
4.452 -1.025 2.884
Ru V Ge
1 2 1
Direct
0.500 0.500 0.500
0.000 0.000 0.767
0.000 0.000 0.233
0.500 0.500 0.000
```

Summary:
* space group: P4/mmm, No. 123
* density of states at the Fermi level: 4.8 states/eV/cell
* electronic total energy: -32.8 eV/f.u.
* M_tot: 0.00 μB per cell
* formation energy: -0.1572 eV/atom

=====

(6)
A plane-wave DFT calculation with GGA-PBE was carried out for Na2GeOs2 after structural relaxation.

Geometry as POSCAR:
```
Na2GeOs2
1.0
3.295 0.000 0.000
0.000 3.295 0.000
1.647 1.647 7.766
Na Ge Os
2 1 2
Direct
0.250 0.750 0.500
0.750 0.250 0.500
0.000 0.000 0.000
0.417 0.417 0.165
0.583 0.583 0.835
```

Summary:
* space group: I4/mmm, No. 139
* energy above the lowest structure with this stoichiometry: 70.0 kJ per mole of atoms
* density of states at the Fermi level: 6.2 states/eV/cell
* electronic total energy: -23.8 eV/f.u.
* M_tot: 0.01 μB per cell
* formation energy: 1.1843 eV/atom

=====

(7)
A plane-wave DFT calculation with GGA-PBE was carried out for NaHfO2 after structural relaxation.

Geometry as POSCAR:
```
NaHfO2
1.0
0.410 -2.307 3.136
-2.312 -3.128 0.445
1.481 -3.601 -0.400
O Hf Na
2 1 1
Direct
0.750 0.750 0.750
0.250 0.250 0.250
0.500 0.500 0.500
0.000 0.000 0.000
```

Summary:
* space group: Fm-3m, No. 225
* energy relative to the elements, uncorrected: -1.66 eV per atom
* density of states at the Fermi level: 4.1 states/eV/cell
* electronic total energy: -27.8 eV/f.u.
* M_tot: 1.00 μB per cell

=====

(8)
A plane-wave DFT calculation with GGA-PBE was carried out for TaCoPd after structural relaxation.

Geometry as POSCAR:
```
TaCoPd
1.0
-8.053 1.303 -3.673
-2.062 -0.189 4.454
0.928 7.892 0.765
Co Pd Ta
8 8 8
Direct
0.000 0.500 0.086
0.250 0.250 0.836
0.750 0.250 0.336
0.500 0.000 0.086
0.500 0.500 0.586
0.750 0.750 0.836
0.000 0.000 0.586
0.250 0.750 0.336
0.750 0.750 0.174
0.000 0.500 0.424
0.250 0.250 0.174
0.750 0.250 0.674
0.000 0.000 0.924
0.500 0.500 0.924
0.500 0.000 0.424
0.250 0.750 0.674
0.250 0.250 0.527
0.000 0.000 0.277
0.500 0.000 0.777
0.750 0.750 0.527
0.000 0.500 0.777
0.750 0.250 0.027
0.250 0.750 0.027
0.500 0.500 0.277
```

Summary:
* space group: Fdd2, No. 43
* energy above the lowest structure with this stoichiometry: 9.2 kJ per mole of atoms
* density of states at the Fermi level: 8.0 states/eV/cell
* electronic total energy: -24.9 eV/f.u.
* M_tot: 0.00 μB per cell
* formation energy: -0.2387 eV/atom

=====

Please write out number 3 again, unchanged.
A plane-wave DFT calculation with GGA-PBE was carried out for NaMnCdCl6 after structural relaxation.

Geometry as POSCAR:
```
NaMnCdCl6
1.0
-3.507 -5.171 1.992
0.213 1.561 -6.366
9.852 -7.239 -1.445
Cl Cd Na Mn
12 2 2 2
Direct
0.971 0.624 0.364
0.624 0.971 0.864
0.971 0.347 0.136
0.624 0.653 0.636
0.029 0.376 0.636
0.376 0.347 0.364
0.347 0.971 0.636
0.653 0.029 0.364
0.347 0.376 0.864
0.376 0.029 0.136
0.653 0.624 0.136
0.029 0.653 0.864
0.667 0.333 0.750
0.333 0.667 0.250
0.000 0.000 0.500
0.000 0.000 0.000
0.333 0.667 0.750
0.667 0.333 0.250
```

Summary:
* space group: P-31c, No. 163
* energy relative to the elements, uncorrected: -1.16 eV per atom
* density of states at the Fermi level: 12.8 states/eV/cell
* electronic total energy: -33.0 eV/f.u.
* M_tot: 8.00 μB per cell